[1]
# KYPd3

A geometry-optimized KYPd3 structure (PBE-GGA, the Alexandria database).

abc: 5.2493 5.2493 5.2493
angles: 90.00 90.00 90.00
Last column: nearest neighbours and their distance in Å.
Positions (direct):
K 0.0000 0.0000 0.0000  12 Pd 3.71
Y 0.5000 0.5000 0.5000  6 Pd 2.62
Pd 0.0000 0.5000 0.5000  2 Y 2.62
Pd 0.5000 0.0000 0.5000  2 Y 2.62
Pd 0.5000 0.5000 0.0000  2 Y 2.62

Calculated values
Total moment   0.0 μB per formula unit
Density of states at the Fermi level   2.9 states/eV/cell
Energy relative to the elements   0.221 eV per atom
Theoretical density   5.1 g cm⁻³

***

[2]
# InRuAu2

A geometry-optimized InRuAu2 structure (PBE-GGA, the Alexandria database).

abc: 9.6806 9.6806 9.6806
angles: 17.58 17.58 17.58
Last column: nearest neighbours and their distance in Å.
Positions (direct):
In 0.0000 0.0000 0.0000  6 In 2.96, 6 Au 3.03
Ru 0.5000 0.5000 0.5000  6 Au 2.83, 6 Ru 2.96
Au 0.2458 0.2458 0.2458  3 Ru 2.83, 6 Au 2.96, 3 In 3.03
Au 0.7542 0.7542 0.7542  3 Ru 2.83, 6 Au 2.96, 3 In 3.03

Calculated values
Total moment   0.8 μB per formula unit
Density of states at the Fermi level   2.0 states/eV/cell
Energy relative to the elements   0.347 eV per atom
Theoretical density   14.0 g cm⁻³

***

[3]
# K2MgAu2

A geometry-optimized K2MgAu2 structure (PBE-GGA, the Alexandria database).

abc: 9.2473 9.2473 3.7970
angles: 90.00 90.00 90.00
Last column: nearest neighbours and their distance in Å.
Positions (direct):
K 0.1354 0.3646 0.0000  6 Au 3.24-3.36, 1 K 3.54, 2 Mg 3.60
K 0.3646 0.8646 0.0000  6 Au 3.24-3.36, 1 K 3.54, 2 Mg 3.60
K 0.6354 0.1354 0.0000  6 Au 3.24-3.36, 1 K 3.54, 2 Mg 3.60
K 0.8646 0.6354 0.0000  6 Au 3.24-3.36, 1 K 3.54, 2 Mg 3.60
Mg 0.0000 0.0000 0.0000  4 K 3.60, 2 Mg 3.80, 8 Au 3.95
Mg 0.5000 0.5000 0.0000  4 K 3.60, 2 Mg 3.80, 8 Au 3.95
Au 0.1636 0.6636 0.5000  6 K 3.24-3.36
Au 0.3364 0.1636 0.5000  6 K 3.24-3.36
Au 0.6636 0.8364 0.5000  6 K 3.24-3.36
Au 0.8364 0.3364 0.5000  6 K 3.24-3.36

Calculated values
Total moment   0.0 μB per formula unit
Density of states at the Fermi level   0.0 states/eV/cell
Energy relative to the elements   0.000 eV per atom
Theoretical density   5.1 g cm⁻³

***

[4]
# Nd3Dy5In2

A geometry-optimized Nd3Dy5In2 structure (PBE-GGA, the Alexandria database).

abc: 10.6394 10.6394 10.6394
angles: 105.33 85.37 144.72
Last column: nearest neighbours and their distance in Å.
Positions (direct):
Nd 0.2393 0.1164 0.3557  4 Dy 3.46-3.57, 4 In 3.54-3.64
Nd 0.2500 0.2500 0.0000  2 Nd 3.22, 2 Dy 3.27, 4 In 3.32
Nd 0.2607 0.6164 0.8771  4 Dy 3.46-3.57, 4 In 3.54-3.64
Nd 0.7393 0.3836 0.1229  4 Dy 3.46-3.57, 4 In 3.54-3.64
Nd 0.7500 0.7500 0.0000  2 Nd 3.22, 2 Dy 3.27, 4 In 3.32
Nd 0.7607 0.8836 0.6443  4 Dy 3.46-3.57, 4 In 3.54-3.64
Dy 0.1629 0.3762 0.5391  1 In 2.98
Dy 0.2500 0.5030 0.2530  2 In 3.18, 5 Dy 3.19-3.41, 1 Nd 3.27
Dy 0.2500 0.7500 0.5000  8 Dy 3.19-3.41
Dy 0.2500 0.9970 0.7470  2 In 3.18, 5 Dy 3.19-3.41, 1 Nd 3.27
Dy 0.3371 0.8762 0.2132  1 In 2.98
Dy 0.6629 0.1238 0.7868  1 In 2.98
Dy 0.7500 0.0030 0.2530  2 In 3.18, 5 Dy 3.19-3.41, 1 Nd 3.27
Dy 0.7500 0.2500 0.5000  8 Dy 3.19-3.41
Dy 0.7500 0.4970 0.7470  2 In 3.18, 5 Dy 3.19-3.41, 1 Nd 3.27
Dy 0.8371 0.6238 0.4609  1 In 2.98
In 0.1470 0.8625 0.0095  3 Dy 2.98-3.18, 2 Nd 3.32
In 0.3530 0.3625 0.7155  3 Dy 2.98-3.18, 2 Nd 3.32
In 0.6470 0.6375 0.2845  3 Dy 2.98-3.18, 2 Nd 3.32
In 0.8530 0.1375 0.9905  3 Dy 2.98-3.18, 2 Nd 3.32

Calculated values
Total moment   0.0 μB per formula unit
Density of states at the Fermi level   27.0 states/eV/cell
Energy relative to the elements   0.047 eV per atom
Theoretical density   7.5 g cm⁻³

***

[5]
# Ac2CeMgAu6

A geometry-optimized Ac2CeMgAu6 structure (PBE-GGA, the Alexandria database).

abc: 6.4261 6.4261 9.2057
angles: 110.35 110.35 60.06
Last column: nearest neighbours and their distance in Å.
Positions (direct):
Ac 0.2043 0.2043 0.1133  9 Au 3.34-3.40
Ac 0.7957 0.7957 0.8867  9 Au 3.34-3.40
Ce 0.0000 0.0000 0.5000  6 Au 2.99
Mg 0.5000 0.5000 0.0000  6 Au 2.63
Au 0.2437 0.7389 0.2232  1 Mg 2.63
Au 0.2606 0.2606 0.7761  1 Mg 2.63
Au 0.2611 0.7563 0.7768  1 Mg 2.63
Au 0.7389 0.2437 0.2232  1 Mg 2.63
Au 0.7394 0.7394 0.2239  1 Mg 2.63
Au 0.7563 0.2611 0.7768  1 Mg 2.63

Calculated values
Total moment   1.1 μB per formula unit
Density of states at the Fermi level   11.6 states/eV/cell
Energy relative to the elements   -0.448 eV per atom
Theoretical density   9.9 g cm⁻³

***

[6]
# NbSb2AsI

A geometry-optimized NbSb2AsI structure (PBE-GGA, the Alexandria database).

abc: 5.7417 5.7417 5.1957
angles: 90.00 90.00 90.00
Last column: nearest neighbours and their distance in Å.
Positions (direct):
Nb 0.0000 0.0000 0.0000  2 I 2.60
Sb 0.0000 0.5000 0.5000  2 I 2.87
Sb 0.5000 0.0000 0.5000  2 I 2.87
As 0.5000 0.5000 0.0000  8 Sb 3.87, 4 Nb 4.06
I 0.0000 0.0000 0.5000  2 Nb 2.60, 4 Sb 2.87

Calculated values
Total moment   2.3 μB per formula unit
Density of states at the Fermi level   6.3 states/eV/cell
ΔE_f (raw)   1.6241 eV per atom
Theoretical density   5.2 g cm⁻³

***

Look up the theoretical density of the fourth one.
7.5 g cm⁻³